No. 1
First-principles (PBE) data for a geometry-optimized Th2VGe4Ir3 structure, as listed in the Alexandria database.

Unit cell a=4.260 b=4.260 c=10.382 alpha=90.00 beta=90.00 gamma=90.00
Fractional positions:
1 V 0.500 0.500 0.500
2 Ge 0.500 0.000 0.633
3 Ge 0.500 0.500 0.000
4 Ge 0.000 0.500 0.367
5 Ge 0.000 0.000 0.000
6 Th 0.500 0.000 0.246
7 Th 0.000 0.500 0.754
8 Ir 0.000 0.000 0.500
9 Ir 0.000 0.500 0.127
10 Ir 0.500 0.000 0.873

## Properties
The calculation puts the total moment at 1.4 μB per cell. The energy of formation from the pure elements comes out at -0.712 eV per atom.

=====

No. 2
First-principles (PBE) data for a geometry-optimized Y2Th2GeIr4 structure, as listed in the Alexandria database.

Unit cell a=6.604 b=6.604 c=6.604 alpha=88.81 beta=120.69 gamma=120.69
Fractional positions:
1 Y 0.500 0.250 0.750
2 Y 0.500 0.750 0.250
3 Ir 0.471 0.736 0.736
4 Ir 0.529 0.264 0.264
5 Ir 0.000 0.736 0.264
6 Ir 0.000 0.264 0.736
7 Th 0.000 0.690 0.690
8 Th 0.000 0.310 0.310
9 Ge 0.000 0.000 0.000

## Properties
The calculation puts the total moment at 0.0 μB per cell. The energy of formation from the pure elements comes out at -0.328 eV per atom.

=====

No. 3
First-principles (PBE) data for a geometry-optimized Th2Zn2Ge4Ir structure, as listed in the Alexandria database.

Unit cell a=6.274 b=6.274 c=6.274 alpha=92.67 beta=118.47 gamma=118.47
Fractional positions:
1 Zn 0.000 0.294 0.294
2 Zn 0.000 0.706 0.706
3 Th 0.500 0.750 0.250
4 Th 0.500 0.250 0.750
5 Ge 0.000 0.276 0.724
6 Ge 0.553 0.276 0.276
7 Ge 0.447 0.724 0.724
8 Ge 0.000 0.724 0.276
9 Ir 0.000 0.000 0.000

## Properties
The calculation puts the total moment at 0.0 μB per cell. The energy of formation from the pure elements comes out at -0.463 eV per atom.

=====

No. 4
First-principles (PBE) data for a geometry-optimized Th2ZnGe4Ir3 structure, as listed in the Alexandria database.

Unit cell a=4.294 b=4.294 c=10.242 alpha=90.00 beta=90.00 gamma=90.00
Fractional positions:
1 Ir 0.000 0.500 0.125
2 Ir 0.000 0.000 0.500
3 Ir 0.500 0.000 0.875
4 Th 0.500 0.000 0.247
5 Th 0.000 0.500 0.753
6 Ge 0.000 0.000 0.000
7 Ge 0.000 0.500 0.364
8 Ge 0.500 0.000 0.636
9 Ge 0.500 0.500 0.000
10 Zn 0.500 0.500 0.500

## Properties
The calculation puts the total moment at 0.0 μB per cell. The energy of formation from the pure elements comes out at -0.711 eV per atom.

=====

No. 5
First-principles (PBE) data for a geometry-optimized Th2ZnGeIr6 structure, as listed in the Alexandria database.

Unit cell a=8.312 b=5.561 c=8.319 alpha=70.46 beta=39.04 gamma=89.99
Fractional positions:
1 Ir 0.748 0.733 0.015
2 Ir 0.252 0.748 0.985
3 Ir 0.736 0.748 0.503
4 Ir 0.748 0.252 0.015
5 Ir 0.264 0.252 0.497
6 Ir 0.252 0.267 0.985
7 Ge 0.000 0.000 0.000
8 Zn 0.500 0.500 0.000
9 Th 0.794 0.206 0.588
10 Th 0.206 0.794 0.412

## Properties
The calculation puts the total moment at 0.0 μB per cell. The energy of formation from the pure elements comes out at -0.370 eV per atom.

=====

No. 6
First-principles (PBE) data for a geometry-optimized ThZrGe2Ir5 structure, as listed in the Alexandria database.

Unit cell a=4.001 b=4.001 c=11.551 alpha=90.00 beta=90.00 gamma=90.00
Fractional positions:
1 Ir 0.500 0.500 0.500
2 Ir 0.500 0.000 0.832
3 Ir 0.000 0.500 0.168
4 Ir 0.000 0.500 0.832
5 Ir 0.500 0.000 0.168
6 Th 0.000 0.000 0.500
7 Ge 0.500 0.500 0.289
8 Ge 0.500 0.500 0.711
9 Zr 0.000 0.000 0.000

## Properties
The calculation puts the total moment at 0.0 μB per cell. The energy of formation from the pure elements comes out at -0.382 eV per atom.

=====

No. 7
First-principles (PBE) data for a geometry-optimized TiGe2Ir2 structure, as listed in the Alexandria database.

Unit cell a=7.358 b=7.358 c=2.837 alpha=90.00 beta=90.00 gamma=90.00
Fractional positions:
1 Ti 0.500 0.500 0.000
2 Ti 0.000 0.000 0.000
3 Ge 0.651 0.151 0.000
4 Ge 0.151 0.349 0.000
5 Ge 0.849 0.651 0.000
6 Ge 0.349 0.849 0.000
7 Ir 0.148 0.648 0.500
8 Ir 0.648 0.852 0.500
9 Ir 0.352 0.148 0.500
10 Ir 0.852 0.352 0.500

## Properties
The calculation puts the total moment at 0.0 μB per cell. The energy of formation from the pure elements comes out at -0.265 eV per atom.

=====

No. 8
First-principles (PBE) data for a geometry-optimized TiGeIr2 structure, as listed in the Alexandria database.

Unit cell a=3.635 b=4.043 c=4.043 alpha=90.00 beta=90.00 gamma=90.00
Fractional positions:
1 Ir 0.000 0.000 0.500
2 Ir 0.000 0.500 0.000
3 Ti 0.500 0.500 0.500
4 Ge 0.500 0.000 0.000

## Properties
The calculation puts the total moment at 0.0 μB per cell. The energy of formation from the pure elements comes out at -0.549 eV per atom.

=====

No. 9
First-principles (PBE) data for a geometry-optimized TiGeIr structure, as listed in the Alexandria database.

Unit cell a=2.879 b=4.288 c=4.288 alpha=120.00 beta=90.00 gamma=90.00
Fractional positions:
1 Ge 0.500 0.667 0.333
2 Ir 0.500 0.333 0.667
3 Ti 0.000 0.000 0.000

## Properties
The calculation puts the total moment at 0.0 μB per cell. The energy of formation from the pure elements comes out at -0.700 eV per atom.

=====

No. 10
First-principles (PBE) data for a geometry-optimized Ti3GeIr structure, as listed in the Alexandria database.

Unit cell a=5.405 b=5.405 c=14.374 alpha=72.17 beta=72.17 gamma=56.10
Fractional positions:
1 Ti 0.006 0.509 0.093
2 Ti 0.509 0.006 0.593
3 Ti 0.845 0.090 0.087
4 Ti 0.377 0.970 0.219
5 Ti 0.623 0.030 0.781
6 Ti 0.970 0.377 0.719
7 Ti 0.030 0.623 0.281
8 Ti 0.910 0.155 0.413
9 Ti 0.994 0.491 0.907
10 Ti 0.155 0.910 0.913
11 Ti 0.491 0.994 0.407
12 Ti 0.090 0.845 0.587
13 Ir 0.398 0.601 0.394
14 Ir 0.601 0.398 0.894
15 Ir 0.399 0.602 0.106
16 Ir 0.602 0.399 0.606
17 Ge 0.291 0.709 0.750
18 Ge 0.709 0.291 0.250
19 Ge 0.000 0.500 0.500
20 Ge 0.500 0.000 0.000

## Properties
The calculation puts the total moment at 0.0 μB per cell. The energy of formation from the pure elements comes out at -0.449 eV per atom.

=====

No. 11
First-principles (PBE) data for a geometry-optimized Ti3Ge3Ir structure, as listed in the Alexandria database.

Unit cell a=4.957 b=7.250 c=7.250 alpha=120.00 beta=90.00 gamma=90.00
Fractional positions:
1 Ge 0.250 0.268 0.057
2 Ge 0.750 0.732 0.943
3 Ge 0.750 0.210 0.268
4 Ge 0.750 0.057 0.790
5 Ge 0.250 0.790 0.732
6 Ge 0.250 0.943 0.210
7 Ir 0.750 0.333 0.667
8 Ir 0.250 0.667 0.333
9 Ti 0.750 0.907 0.356
10 Ti 0.250 0.550 0.907
11 Ti 0.750 0.644 0.550
12 Ti 0.250 0.356 0.450
13 Ti 0.750 0.450 0.093
14 Ti 0.250 0.093 0.644

## Properties
The calculation puts the total moment at 0.0 μB per cell. The energy of formation from the pure elements comes out at -0.481 eV per atom.

=====

No. 12
First-principles (PBE) data for a geometry-optimized TiGeIr2 structure, as listed in the Alexandria database.

Unit cell a=5.604 b=5.604 c=6.827 alpha=65.77 beta=65.77 gamma=90.00
Fractional positions:
1 Ir 0.118 0.625 0.250
2 Ir 0.375 0.368 0.750
3 Ir 0.632 0.125 0.250
4 Ir 0.875 0.882 0.750
5 Ge 0.000 0.000 0.000
6 Ge 0.750 0.250 0.500
7 Ti 0.500 0.500 0.000
8 Ti 0.250 0.750 0.500

## Properties
The calculation puts the total moment at 0.0 μB per cell. The energy of formation from the pure elements comes out at 0.160 eV per atom.

=====

No. 13
First-principles (PBE) data for a geometry-optimized TiGeIr structure, as listed in the Alexandria database.

Unit cell a=4.696 b=5.419 c=7.736 alpha=90.00 beta=90.00 gamma=90.00
Fractional positions:
1 Ti 0.250 0.934 0.249
2 Ti 0.250 0.566 0.749
3 Ti 0.750 0.434 0.251
4 Ti 0.750 0.066 0.751
5 Ir 0.750 0.013 0.112
6 Ir 0.250 0.987 0.888
7 Ir 0.250 0.513 0.388
8 Ir 0.750 0.487 0.612
9 Ge 0.750 0.623 0.930
10 Ge 0.250 0.123 0.570
11 Ge 0.750 0.877 0.430
12 Ge 0.250 0.377 0.070

## Properties
The calculation puts the total moment at 0.0 μB per cell. The energy of formation from the pure elements comes out at -0.445 eV per atom.

=====

No. 14
First-principles (PBE) data for a geometry-optimized Ti3GeIr structure, as listed in the Alexandria database.

Unit cell a=4.585 b=4.585 c=4.585 alpha=90.00 beta=90.00 gamma=90.00
Fractional positions:
1 Ti 0.500 0.000 0.000
2 Ti 0.000 0.500 0.000
3 Ti 0.000 0.000 0.500
4 Ge 0.000 0.000 0.000
5 Ir 0.500 0.500 0.500

## Properties
The calculation puts the total moment at 0.0 μB per cell. The energy of formation from the pure elements comes out at 0.562 eV per atom.

=====

No. 15
First-principles (PBE) data for a geometry-optimized TiGeIr2 structure, as listed in the Alexandria database.

Unit cell a=2.912 b=2.912 c=7.028 alpha=90.00 beta=90.00 gamma=90.00
Fractional positions:
1 Ge 0.500 0.500 0.000
2 Ti 0.500 0.500 0.500
3 Ir 0.000 0.000 0.764
4 Ir 0.000 0.000 0.236

## Properties
The calculation puts the total moment at 0.1 μB per cell. The energy of formation from the pure elements comes out at -0.502 eV per atom.

=====

No. 16
First-principles (PBE) data for a geometry-optimized Ti4Ge6Ir7 structure, as listed in the Alexandria database.

Unit cell a=6.996 b=6.996 c=6.996 alpha=109.47 beta=109.47 gamma=109.47
Fractional positions:
1 Ti 0.500 0.000 0.000
2 Ti 0.500 0.500 0.500
3 Ti 0.000 0.500 0.000
4 Ti 0.000 0.000 0.500
5 Ge 0.690 0.000 0.690
6 Ge 0.690 0.690 0.000
7 Ge 0.000 0.310 0.310
8 Ge 0.000 0.690 0.690
9 Ge 0.310 0.310 0.000
10 Ge 0.310 0.000 0.310
11 Ir 0.500 0.250 0.750
12 Ir 0.500 0.750 0.250
13 Ir 0.750 0.250 0.500
14 Ir 0.000 0.000 0.000
15 Ir 0.750 0.500 0.250
16 Ir 0.250 0.750 0.500
17 Ir 0.250 0.500 0.750

## Properties
The calculation puts the total moment at 0.0 μB per cell. The energy of formation from the pure elements comes out at -0.591 eV per atom.

=====

No. 17
First-principles (PBE) data for a geometry-optimized TiGeIr structure, as listed in the Alexandria database.

Unit cell a=3.979 b=6.309 c=7.425 alpha=90.00 beta=90.00 gamma=90.00
Fractional positions:
1 Ge 0.250 0.242 0.121
2 Ge 0.750 0.258 0.621
3 Ge 0.250 0.742 0.379
4 Ge 0.750 0.758 0.879
5 Ti 0.750 0.528 0.188
6 Ti 0.750 0.028 0.312
7 Ti 0.250 0.972 0.688
8 Ti 0.250 0.472 0.812
9 Ir 0.750 0.654 0.560
10 Ir 0.750 0.154 0.940
11 Ir 0.250 0.346 0.440
12 Ir 0.250 0.846 0.060

## Properties
The calculation puts the total moment at 0.0 μB per cell. The energy of formation from the pure elements comes out at -0.714 eV per atom.

=====

No. 18
First-principles (PBE) data for a geometry-optimized Ti3Ge2Ir2 structure, as listed in the Alexandria database.

Unit cell a=4.209 b=2.921 c=9.321 alpha=99.01 beta=103.05 gamma=90.00
Fractional positions:
1 Ti 0.000 0.000 0.000
2 Ti 0.704 0.204 0.409
3 Ti 0.296 0.796 0.591
4 Ir 0.844 0.344 0.689
5 Ir 0.156 0.656 0.311
6 Ge 0.429 0.429 0.858
7 Ge 0.571 0.571 0.142

## Properties
The calculation puts the total moment at 0.0 μB per cell. The energy of formation from the pure elements comes out at -0.627 eV per atom.

=====

No. 19
First-principles (PBE) data for a geometry-optimized Ti2GeIr structure, as listed in the Alexandria database.

Unit cell a=3.338 b=3.338 c=5.564 alpha=90.00 beta=90.00 gamma=90.00
Fractional positions:
1 Ti 0.000 0.000 0.753
2 Ti 0.000 0.000 0.247
3 Ir 0.500 0.500 0.500
4 Ge 0.500 0.500 0.000

## Properties
The calculation puts the total moment at 0.0 μB per cell. The energy of formation from the pure elements comes out at -0.570 eV per atom.

=====

No. 20
First-principles (PBE) data for a geometry-optimized Ti4Ge4Ir structure, as listed in the Alexandria database.

Unit cell a=5.090 b=6.141 c=6.141 alpha=80.11 beta=65.52 gamma=65.52
Fractional positions:
1 Ge 0.701 0.387 0.212
2 Ge 0.912 0.788 0.387
3 Ge 0.088 0.212 0.613
4 Ge 0.299 0.613 0.788
5 Ti 0.779 0.626 0.815
6 Ti 0.221 0.374 0.185
7 Ti 0.405 0.815 0.374
8 Ti 0.595 0.185 0.626
9 Ir 0.000 0.000 0.000

## Properties
The calculation puts the total moment at 0.0 μB per cell. The energy of formation from the pure elements comes out at -0.203 eV per atom.